(1)
Below is an optimized crystal structure of NbCr3C, with properties calculated at the PBE level.

Lattice parameters (Å, degrees): 3.913 3.913 3.913 90.00 90.00 90.00
Element x y z (fractional)
Cr1 0.000 0.500 0.000
Cr2 0.000 0.000 0.500
Cr3 0.500 0.000 0.000
Nb1 0.500 0.500 0.500
C1 0.000 0.000 0.000

- Crystal system: cubic
- SG: No. 221

***

(2)
Below is an optimized crystal structure of NbCr3C, with properties calculated at the PBE level.

Lattice parameters (Å, degrees): 3.023 7.564 9.982 90.00 90.00 90.00
Element x y z (fractional)
Nb1 0.750 0.827 0.983
Nb2 0.250 0.673 0.483
Nb3 0.750 0.327 0.517
Nb4 0.250 0.173 0.017
Cr1 0.250 0.546 0.080
Cr2 0.750 0.454 0.920
Cr3 0.250 0.046 0.420
Cr4 0.750 0.954 0.580
Cr5 0.250 0.400 0.732
Cr6 0.750 0.100 0.232
Cr7 0.250 0.900 0.768
Cr8 0.750 0.653 0.717
Cr9 0.250 0.347 0.283
Cr10 0.750 0.153 0.783
Cr11 0.750 0.600 0.268
Cr12 0.250 0.847 0.217
C1 0.250 0.140 0.635
C2 0.250 0.640 0.865
C3 0.750 0.360 0.135
C4 0.750 0.860 0.365

- Crystal system: orthorhombic
- SG: No. 62

***

(3)
Below is an optimized crystal structure of Nb3CrC, with properties calculated at the PBE level.

Lattice parameters (Å, degrees): 4.276 4.276 4.276 90.00 90.00 90.00
Element x y z (fractional)
Cr1 0.500 0.500 0.500
Nb1 0.000 0.500 0.000
Nb2 0.000 0.000 0.500
Nb3 0.500 0.000 0.000
C1 0.000 0.000 0.000

- Crystal system: cubic
- SG: No. 221

***

Computed polymorph energy (0 for the lowest one) (meV per atom) in order:
130, 0, 0
Computed calculated total energy (eV/atom) in order:
-9.5919, -9.7224, -9.6401
Computed energy of formation from the pure elements (meV/atom) in order:
41, -90, 171